(1)
Zn2HIF | GGA-PBEsol | optimized geometry

Results
The value obtained for the calculated total energy is -9.84 eV per cell.

a = 4.301 Å, b = 4.301 Å, c = 4.712 Å
α = 90.00°, β = 90.00°, γ = 90.00°
Fractional positions:
Zn1 0.000 0.500 0.000
Zn2 0.500 0.000 0.000
H1 0.000 0.000 0.500
I1 0.500 0.500 0.500
F1 0.000 0.000 0.000

(2)
BaIn2Mo | GGA-PBEsol | optimized geometry

Results
The value obtained for the formation energy is 0.42 eV/atom. Its energy relative to the lowest polymorph listed for this composition is 0.000 eV/atom.

a = 3.700 Å, b = 3.700 Å, c = 7.906 Å
α = 90.00°, β = 90.00°, γ = 90.00°
Fractional positions:
Ba1 0.000 0.000 0.000
In1 0.000 0.000 0.580
In2 0.500 0.500 0.336
Mo1 0.500 0.500 0.685